Below is Mg2InIr at its PBEsol-relaxed geometry, with properties calculated at the SCAN level.

**V**: 18.3 Å³/atom
**Formation energy from the elements**: -0.381 eV per atom
**SG**: P4/mmm (123)
**Fermi-level density of states**: 0.329 states/eV per atom

Cell: 3.1639 3.1639 7.3004 Å, 90.00 90.00 90.00°
Closest atoms and distances in Å follow each position.
Fractional coordinates of all 4 atoms:
In1 0.5000 0.5000 0.0000  8 Mg 3.14, 4 In 3.16
Ir1 0.5000 0.5000 0.5000  8 Mg 2.67
Mg1 0.0000 0.0000 0.3013  4 Ir 2.67, 1 Mg 2.90
Mg2 0.0000 0.0000 0.6987  4 Ir 2.67, 1 Mg 2.90

Below is Ca4FePt at its PBEsol-relaxed geometry, with properties calculated at the SCAN level.

**V**: 24.7 Å³/atom
**Formation energy from the elements**: 0.794 eV per atom
**SG**: F-43m (216)
**Fermi-level density of states**: 1.274 states/eV per atom

Cell: 5.9432 5.9432 5.9432 Å, 60.00 60.00 60.00°
Closest atoms and distances in Å follow each position.
Fractional coordinates of all 6 atoms:
Ca1 0.3748 0.8757 0.3748  6 Ca 2.97-2.98
Ca2 0.3748 0.3748 0.8757  6 Ca 2.97-2.98
Ca3 0.8757 0.3748 0.3748  6 Ca 2.97-2.98
Ca4 0.3748 0.3748 0.3748  6 Ca 2.97-2.98
Fe1 0.7500 0.7500 0.7500  12 Ca 3.49, 4 Pt 3.64
Pt1 0.0000 0.0000 0.0000  12 Ca 3.48, 4 Fe 3.64

Below is RuPt2Cl at its PBEsol-relaxed geometry, with properties calculated at the SCAN level.

**V**: 15.2 Å³/atom
**SG**: R3m (160)
**Fermi-level density of states**: 0.879 states/eV per atom
**E_form (uncorrected)**: 0.290 eV/atom

Cell: 2.8217 2.8217 8.9609 Å, 80.94 80.94 60.00°
Closest atoms and distances in Å follow each position.
Fractional coordinates of all 4 atoms:
Cl1 0.2371 0.2371 0.2888  3 Ru 2.45
Pt1 0.0047 0.0047 0.9858  9 Pt 2.78-2.82
Pt2 0.7568 0.7568 0.7295  3 Ru 2.63, 9 Pt 2.78-2.82
Ru1 0.5014 0.5014 0.4959  3 Cl 2.45, 3 Pt 2.63

Below is PrGe2Pt2 at its PBEsol-relaxed geometry, with properties calculated at the SCAN level.

**V**: 18.8 Å³/atom
**Formation energy from the elements**: -1.141 eV per atom
**SG**: P4/nmm (129)
**Fermi-level density of states**: 0.503 states/eV per atom

Cell: 4.3460 4.3460 9.9377 Å, 90.00 90.00 90.00°
Closest atoms and distances in Å follow each position.
Fractional coordinates of all 10 atoms:
Pr1 0.0000 0.5000 0.2536  8 Ge 3.27-3.31, 8 Pt 3.31-3.33
Pr2 0.5000 0.0000 0.7464  8 Ge 3.27-3.31, 8 Pt 3.31-3.33
Pt1 0.0000 0.5000 0.6233  5 Ge 2.45-2.49
Pt2 0.5000 0.0000 0.3767  5 Ge 2.45-2.49
Pt3 0.0000 0.0000 0.0000  4 Ge 2.53
Pt4 0.5000 0.5000 0.0000  4 Ge 2.53
Ge1 0.5000 0.5000 0.5000  4 Pt 2.49
Ge2 0.5000 0.0000 0.1303  5 Pt 2.45-2.53
Ge3 0.0000 0.0000 0.5000  4 Pt 2.49
Ge4 0.0000 0.5000 0.8697  5 Pt 2.45-2.53

Below is SrZr2Zn at its PBEsol-relaxed geometry, with properties calculated at the SCAN level.

**V**: 23.0 Å³/atom
**Formation energy from the elements**: 0.559 eV per atom
**SG**: Cmmm (65)
**Fermi-level density of states**: 1.000 states/eV per atom

Cell: 2.9828 5.8753 5.8753 Å, 116.49 90.00 90.00°
Closest atoms and distances in Å follow each position.
Fractional coordinates of all 4 atoms:
Sr1 0.5000 0.0000 0.0000  2 Sr 2.98, 2 Zn 3.09, 8 Zr 3.29
Zr1 0.0000 0.0000 0.5000  4 Zr 2.98-3.09, 4 Sr 3.29, 4 Zn 3.29
Zr2 0.0000 0.5000 0.0000  4 Zr 2.98-3.09, 4 Zn 3.29, 4 Sr 3.29
Zn1 0.5000 0.5000 0.5000  2 Zn 2.98, 2 Sr 3.09, 8 Zr 3.29

Below is Li2RuBr at its PBEsol-relaxed geometry, with properties calculated at the SCAN level.

**V**: 15.4 Å³/atom
**SG**: I-42d (122)
**Offset from the most stable computed form**: 79.8 meV/atom
**Fermi-level density of states**: 0.324 states/eV per atom
**E_form (uncorrected)**: 0.166 eV/atom

Cell: 5.0117 5.5566 5.5566 Å, 78.27 63.19 63.19°
Closest atoms and distances in Å follow each position.
Fractional coordinates of all 8 atoms:
Br1 0.2500 0.5000 0.5000  4 Li 2.46, 2 Ru 2.51
Br2 0.5000 0.0000 0.0000  4 Li 2.46, 2 Ru 2.51
Li1 0.3750 0.0209 0.4791  2 Br 2.46, 2 Li 2.52, 2 Ru 2.66
Li2 0.8750 0.9791 0.5209  2 Br 2.46, 2 Li 2.52, 2 Ru 2.66
Li3 0.1459 0.4791 0.9791  2 Br 2.46, 2 Li 2.52, 2 Ru 2.66
Li4 0.6041 0.5209 0.0209  2 Br 2.46, 2 Li 2.52, 2 Ru 2.66
Ru1 0.7500 0.5000 0.5000  2 Br 2.51, 4 Li 2.66
Ru2 0.0000 0.0000 0.0000  2 Br 2.51, 4 Li 2.66

Below is Ba2HgP at its PBEsol-relaxed geometry, with properties calculated at the SCAN level.

**V**: 37.9 Å³/atom
**Formation energy from the elements**: -0.894 eV per atom
**SG**: R-3m (166)
**Offset from the most stable computed form**: 11.1 meV/atom
**Fermi-level density of states**: 0.597 states/eV per atom

Cell: 4.6038 4.6038 8.6672 Å, 74.60 74.60 60.00°
Closest atoms and distances in Å follow each position.
Fractional coordinates of all 4 atoms:
P1 0.5000 0.5000 0.5000  6 Ba 3.15
Hg1 0.0000 0.0000 0.0000  6 Ba 3.60
Ba1 0.7648 0.7648 0.7057  3 P 3.15
Ba2 0.2352 0.2352 0.2943  3 P 3.15

Below is LaScTi2 at its PBEsol-relaxed geometry, with properties calculated at the SCAN level.

**V**: 21.5 Å³/atom
**Formation energy from the elements**: 0.343 eV per atom
**SG**: Fm-3m (225)
**Fermi-level density of states**: 2.053 states/eV per atom

Cell: 4.9508 4.9508 4.9508 Å, 60.00 60.00 60.00°
Closest atoms and distances in Å follow each position.
Fractional coordinates of all 4 atoms:
Ti1 0.7500 0.7500 0.7500  4 La 3.03, 4 Sc 3.03
Ti2 0.2500 0.2500 0.2500  4 La 3.03, 4 Sc 3.03
Sc1 0.0000 0.0000 0.0000  8 Ti 3.03
La1 0.5000 0.5000 0.5000  8 Ti 3.03

Below is Mg2CoOs at its PBEsol-relaxed geometry, with properties calculated at the SCAN level.

**V**: 14.5 Å³/atom
**Formation energy from the elements**: 0.201 eV per atom
**SG**: R-3m (166)
**Offset from the most stable computed form**: 44.3 meV/atom
**Fermi-level density of states**: 0.607 states/eV per atom

Cell: 2.7672 2.7672 8.8865 Å, 81.04 81.04 60.00°
Closest atoms and distances in Å follow each position.
Fractional coordinates of all 4 atoms:
Mg1 0.7468 0.7468 0.7595  3 Co 2.64, 6 Mg 2.77, 3 Os 2.77
Mg2 0.2532 0.2532 0.2405  3 Co 2.64, 6 Mg 2.77, 3 Os 2.77
Os1 0.5000 0.5000 0.5000  6 Os 2.77, 6 Mg 2.77
Co1 0.0000 0.0000 0.0000  6 Mg 2.64, 6 Co 2.77

Below is CuAg3 at its PBEsol-relaxed geometry, with properties calculated at the SCAN level.

**V**: 15.4 Å³/atom
**Formation energy from the elements**: 0.090 eV per atom
**SG**: C2/m (12)
**Fermi-level density of states**: 0.246 states/eV per atom

Cell: 2.8008 4.8566 4.8318 Å, 101.38 90.00 106.76°
Closest atoms and distances in Å follow each position.
Fractional coordinates of all 4 atoms:
Cu1 0.5000 0.0000 0.0000  10 Ag 2.71-2.88, 2 Cu 2.80
Ag1 0.7578 0.5156 0.7579  3 Cu 2.71-2.88, 9 Ag 2.76-2.84
Ag2 0.2422 0.4844 0.2421  3 Cu 2.71-2.88, 9 Ag 2.76-2.84
Ag3 0.0000 0.0000 0.5000  8 Ag 2.79-2.83, 4 Cu 2.79